Record 1
Below is a geometry-optimized Na2MgZn2Au5 structure, with properties calculated at the GGA-PBE level.

The calculation puts the calculated total energy at -2.649 eV per atom. As for the energy of formation: -3.33 eV/f.u.

CIF file:
```
data_Na2MgZn2Au5
_chemical_formula_sum 'Na4 Mg2 Zn4 Au10'
_space_group_name_H-M_alt 'P 4/m b m'
_space_group_IT_number 127
_space_group_name_Hall '-P 4 2ab'
_cell_length_a 10.4638
_cell_length_b 10.4638
_cell_length_c 3.5997
_cell_angle_alpha 90.00
_cell_angle_beta 90.00
_cell_angle_gamma 90.00
loop_
_atom_site_label
_atom_site_type_symbol
_atom_site_fract_x
_atom_site_fract_y
_atom_site_fract_z
Na1 Na 0.1741 0.3259 0.0000
Mg1 Mg 0.0000 0.0000 0.0000
Zn1 Zn 0.1292 0.6292 0.0000
Au1 Au 0.0000 0.5000 0.5000
Au2 Au 0.0562 0.8019 0.5000
```

Record 2
Below is a geometry-optimized NaMgZn2Au4 structure, with properties calculated at the GGA-PBE level.

The calculation puts the calculated total energy at -2.624 eV per atom. As for the energy of formation: -2.42 eV/f.u.

CIF file:
```
data_NaMgZn2Au4
_chemical_formula_sum 'Na3 Mg3 Zn6 Au12'
_space_group_name_H-M_alt 'R -3 m'
_space_group_IT_number 166
_space_group_name_Hall '-R 3 2"'
_cell_length_a 4.6543
_cell_length_b 4.6543
_cell_length_c 22.3421
_cell_angle_alpha 90.00
_cell_angle_beta 90.00
_cell_angle_gamma 120.00
loop_
_atom_site_label
_atom_site_type_symbol
_atom_site_fract_x
_atom_site_fract_y
_atom_site_fract_z
Na1 Na 0.0000 0.0000 0.0000
Mg1 Mg 0.0000 0.0000 0.5000
Zn1 Zn 0.0000 0.0000 0.2537
Au1 Au 0.0000 0.0000 0.1302
Au2 Au 0.0000 0.0000 0.3781
```

Record 3
Below is a geometry-optimized NaMgZnAu structure, with properties calculated at the GGA-PBE level.

The calculation puts the calculated total energy at -2.091 eV per atom. As for the energy of formation: -0.90 eV/f.u.

CIF file:
```
data_NaMgZnAu
_chemical_formula_sum 'Na4 Mg4 Zn4 Au4'
_space_group_name_H-M_alt 'F -4 3 m'
_space_group_IT_number 216
_space_group_name_Hall 'F -4 2 3'
_cell_length_a 6.6515
_cell_length_b 6.6515
_cell_length_c 6.6515
_cell_angle_alpha 90.00
_cell_angle_beta 90.00
_cell_angle_gamma 90.00
loop_
_atom_site_label
_atom_site_type_symbol
_atom_site_fract_x
_atom_site_fract_y
_atom_site_fract_z
Na1 Na 0.0000 0.0000 0.0000
Mg1 Mg 0.2500 0.2500 0.7500
Zn1 Zn 0.2500 0.2500 0.2500
Au1 Au 0.0000 0.0000 0.5000
```

Record 4
Below is a geometry-optimized NaMg2ZnAu4 structure, with properties calculated at the GGA-PBE level.

The calculation puts the calculated total energy at -2.759 eV per atom. As for the energy of formation: -3.18 eV/f.u.

CIF file:
```
data_NaMg2ZnAu4
_chemical_formula_sum 'Na3 Mg6 Zn3 Au12'
_space_group_name_H-M_alt 'R -3 m'
_space_group_IT_number 166
_space_group_name_Hall '-R 3 2"'
_cell_length_a 4.6875
_cell_length_b 4.6875
_cell_length_c 22.7903
_cell_angle_alpha 90.00
_cell_angle_beta 90.00
_cell_angle_gamma 120.00
loop_
_atom_site_label
_atom_site_type_symbol
_atom_site_fract_x
_atom_site_fract_y
_atom_site_fract_z
Na1 Na 0.0000 0.0000 0.0000
Mg1 Mg 0.0000 0.0000 0.2531
Zn1 Zn 0.0000 0.0000 0.5000
Au1 Au 0.0000 0.0000 0.1302
Au2 Au 0.0000 0.0000 0.3825
```

Record 5
Below is a geometry-optimized MgNb3Au structure, with properties calculated at the GGA-PBE level.

The calculation puts the calculated total energy at -5.413 eV per atom. As for the energy of formation: 8.02 eV/f.u.

CIF file:
```
data_MgNb3Au
_chemical_formula_sum 'Mg1 Nb3 Au1'
_space_group_name_H-M_alt 'P m -3 m'
_space_group_IT_number 221
_space_group_name_Hall '-P 4 2 3'
_cell_length_a 4.7082
_cell_length_b 4.7082
_cell_length_c 4.7082
_cell_angle_alpha 90.00
_cell_angle_beta 90.00
_cell_angle_gamma 90.00
loop_
_atom_site_label
_atom_site_type_symbol
_atom_site_fract_x
_atom_site_fract_y
_atom_site_fract_z
Mg1 Mg 0.0000 0.0000 0.0000
Nb1 Nb 0.0000 0.0000 0.5000
Au1 Au 0.5000 0.5000 0.5000
```

Record 6
Below is a geometry-optimized MgNb3Au structure, with properties calculated at the GGA-PBE level.

The calculation puts the calculated total energy at -5.624 eV per atom. As for the energy of formation: 6.96 eV/f.u.

CIF file:
```
data_MgNb3Au
_chemical_formula_sum 'Mg1 Nb3 Au1'
_space_group_name_H-M_alt 'P m -3 m'
_space_group_IT_number 221
_space_group_name_Hall '-P 4 2 3'
_cell_length_a 5.0065
_cell_length_b 5.0065
_cell_length_c 5.0065
_cell_angle_alpha 90.00
_cell_angle_beta 90.00
_cell_angle_gamma 90.00
loop_
_atom_site_label
_atom_site_type_symbol
_atom_site_fract_x
_atom_site_fract_y
_atom_site_fract_z
Mg1 Mg 0.0000 0.0000 0.0000
Nb1 Nb 0.0000 0.5000 0.5000
Au1 Au 0.5000 0.5000 0.5000
```

Record 7
Below is a geometry-optimized MgNb2PAu structure, with properties calculated at the GGA-PBE level.

The calculation puts the calculated total energy at -4.714 eV per atom. As for the energy of formation: 6.85 eV/f.u.

CIF file:
```
data_MgNb2PAu
_chemical_formula_sum 'Mg1 Nb2 P1 Au1'
_space_group_name_H-M_alt 'P 4/m m m'
_space_group_IT_number 123
_space_group_name_Hall '-P 4 2'
_cell_length_a 5.1953
_cell_length_b 5.1953
_cell_length_c 4.5748
_cell_angle_alpha 90.00
_cell_angle_beta 90.00
_cell_angle_gamma 90.00
loop_
_atom_site_label
_atom_site_type_symbol
_atom_site_fract_x
_atom_site_fract_y
_atom_site_fract_z
Mg1 Mg 0.0000 0.0000 0.0000
Nb1 Nb 0.0000 0.5000 0.5000
P1 P 0.5000 0.5000 0.0000
Au1 Au 0.5000 0.5000 0.5000
```

Record 8
Below is a geometry-optimized MgNbRhAu2 structure, with properties calculated at the GGA-PBE level.

The calculation puts the calculated total energy at -4.502 eV per atom. As for the energy of formation: 3.06 eV/f.u.

CIF file:
```
data_MgNbRhAu2
_chemical_formula_sum 'Mg1 Nb1 Rh1 Au2'
_space_group_name_H-M_alt 'P 4/m m m'
_space_group_IT_number 123
_space_group_name_Hall '-P 4 2'
_cell_length_a 5.1132
_cell_length_b 5.1132
_cell_length_c 4.6058
_cell_angle_alpha 90.00
_cell_angle_beta 90.00
_cell_angle_gamma 90.00
loop_
_atom_site_label
_atom_site_type_symbol
_atom_site_fract_x
_atom_site_fract_y
_atom_site_fract_z
Mg1 Mg 0.0000 0.0000 0.0000
Nb1 Nb 0.5000 0.5000 0.0000
Rh1 Rh 0.5000 0.5000 0.5000
Au1 Au 0.0000 0.5000 0.5000
```